Entry 1:
Below is a relaxed Li4Au5 crystal, with properties calculated at the PBE level. Values from VASP.

Cell and atoms, written as Quantum ESPRESSO input:
```
&SYSTEM
  ibrav = 0, nat = 9, ntyp = 2
/
ATOMIC_SPECIES
Li 6.94 Li.upf
Au 196.97 Au.upf
CELL_PARAMETERS angstrom
-4.337 4.337 2.013
4.337 -4.337 2.013
4.337 4.337 -2.013
ATOMIC_POSITIONS angstrom
Li 2.669 0.000 0.000
Li 6.006 0.000 0.000
Li 0.000 2.669 0.000
Li 0.000 6.006 0.000
Au 0.000 0.000 0.000
Au 2.855 2.855 0.000
Au 1.483 -1.483 2.013
Au -1.483 1.483 2.013
Au 1.483 1.483 2.013
```

Calculated values
* relative energy among the computed polymorphs: 0.053 eV per atom
* DFT formation energy: -0.424 eV per atom

=====

Entry 2:
Below is a relaxed PrErThAl crystal, with properties calculated at the PBE level. Values from VASP.

Cell and atoms, written as Quantum ESPRESSO input:
```
&SYSTEM
  ibrav = 0, nat = 4, ntyp = 4
/
ATOMIC_SPECIES
Pr 140.91 Pr.upf
Er 167.26 Er.upf
Th 232.04 Th.upf
Al 26.98 Al.upf
CELL_PARAMETERS angstrom
0.000 3.851 3.851
3.851 0.000 3.851
3.851 3.851 0.000
ATOMIC_POSITIONS angstrom
Pr 0.000 0.000 0.000
Er 5.776 5.776 5.776
Th 3.851 3.851 3.851
Al 1.925 1.925 1.925
```

Calculated values
* DFT formation energy: -0.011 eV per atom

=====

Q: What is the DFT formation energy in the first record?
A: -0.424 eV per atom